# Pr3Sn3Rh (GGA-PBE, optimized geometry)
# N(E_F) = 0.902 states/eV/atom
# volume = 27.7 Å³ per atom
# raw total energy = -5.60 eV per atom
data_Pr3Sn3Rh
_cell_length_a 11.5379
_cell_length_b 4.6319
_cell_length_c 15.4084
_cell_angle_alpha 90.00
_cell_angle_beta 109.40
_cell_angle_gamma 90.00
_symmetry_space_group_name_H-M 'C 1 2/m 1'
_symmetry_Int_Tables_number 12
_symmetry_space_group_name_Hall '-C 2y'
loop_
_atom_site_label
_atom_site_type_symbol
_atom_site_fract_x
_atom_site_fract_y
_atom_site_fract_z
Pr1 Pr 0.0230 0.0000 0.3817
Pr2 Pr 0.0990 0.0000 0.9207
Pr3 Pr 0.2422 0.0000 0.2406
Sn1 Sn 0.0314 0.5000 0.2366
Sn2 Sn 0.1228 0.5000 0.0763
Sn3 Sn 0.1496 0.5000 0.5353
Rh1 Rh 0.2472 0.5000 0.3871